# PBE ZrGeSeS3, optimized geometry
# E_tot	-136.7	eV per cell
data_ZrGeSeS3
_chemical_formula_sum 'Zr4 Ge4 Se4 S12'
_cell_length_a 3.6435
_cell_length_b 15.7036
_cell_length_c 10.4911
_cell_angle_alpha 90.00
_cell_angle_beta 90.00
_cell_angle_gamma 90.00
_space_group_name_H-M_alt 'C m c 21'
_space_group_IT_number 36
loop_
_space_group_symop_operation_xyz
'x,y,z'
'-x,-y,z+1/2'
'-x,y,z'
'x,-y,z+1/2'
'x+1/2,y+1/2,z'
'-x+1/2,-y+1/2,z+1/2'
'-x+1/2,y+1/2,z'
'x+1/2,-y+1/2,z+1/2'
loop_
_atom_site_label
_atom_site_type_symbol
_atom_site_fract_x
_atom_site_fract_y
_atom_site_fract_z
Zr1 Zr 0.0000 0.1580 0.0000
Ge1 Ge 0.0000 0.2786 0.7920
Se1 Se 0.0000 0.2204 0.5710
S1 S 0.0000 0.1268 0.2565
S2 S 0.0000 0.3977 0.3398
S3 S 0.0000 0.4615 0.5137